Entry 1:
First-principles (SCAN) data for a crystal of BaCaLa2 relaxed with PBEsol, as listed in Alexandria via LeMat-Bulk.

The calculation puts the energy relative to the elements at 71 meV per atom.

The structure belongs to space group P4mm (No. 99); the cell edges are 3.788, 3.788 and 11.290 Å and the angles 90.00°, 90.00° and 90.00°. The distinct sites, in fractional coordinates, are Ba at (0.000, 0.000, 0.000), Ca at (0.500, 0.500, 0.284), La at (0.000, 0.000, 0.527) and La at (0.500, 0.500, 0.733).

=====

Entry 2:
First-principles (SCAN) data for a crystal of Ba2CaLa relaxed with PBEsol, as listed in Alexandria via LeMat-Bulk.

The energy above the lowest structure with this stoichiometry comes out at 0 meV per atom. The calculation puts the energy relative to the elements at 138 meV per atom.

The structure belongs to space group Cmmm (No. 65); the cell edges are 4.401, 6.368 and 12.966 Å and the angles 90.00°, 90.00° and 90.00°. The distinct sites, in fractional coordinates, are Ba at (0.000, 0.000, 0.246), Ca at (0.000, 0.500, 0.500) and La at (0.000, 0.500, 0.000).

=====

Entry 3:
First-principles (SCAN) data for a crystal of Ba2Li2Ca relaxed with PBEsol, as listed in Alexandria via LeMat-Bulk.

The energy above the lowest structure with this stoichiometry comes out at 0 meV per atom. The calculation puts the energy relative to the elements at 32 meV per atom.

The structure belongs to space group P4/mbm (No. 127); the cell edges are 9.191, 9.191 and 4.935 Å and the angles 90.00°, 90.00° and 90.00°. The distinct sites, in fractional coordinates, are Ba at (0.178, 0.322, 0.000), Li at (0.117, 0.617, 0.500) and Ca at (0.000, 0.000, 0.500).

=====

Entry 4:
First-principles (SCAN) data for a crystal of BaLiCa2 relaxed with PBEsol, as listed in Alexandria via LeMat-Bulk.

The energy above the lowest structure with this stoichiometry comes out at 76 meV per atom. The calculation puts the energy relative to the elements at 102 meV per atom.

The structure belongs to space group P2/m (No. 10); the cell edges are 3.845, 6.124 and 7.029 Å and the angles 90.00°, 99.96° and 90.00°. The distinct sites, in fractional coordinates, are Ba at (0.000, 0.000, 0.000), Li at (0.500, 0.000, 0.500) and Ca at (0.309, 0.500, 0.735).

=====

Entry 5:
First-principles (SCAN) data for a crystal of BaLiCa2 relaxed with PBEsol, as listed in Alexandria via LeMat-Bulk.

The energy above the lowest structure with this stoichiometry comes out at 6 meV per atom. The calculation puts the energy relative to the elements at 32 meV per atom.

The structure belongs to space group P4/mmm (No. 123); the cell edges are 4.073, 4.073 and 9.683 Å and the angles 90.00°, 90.00° and 90.00°. The distinct sites, in fractional coordinates, are Ba at (0.000, 0.000, 0.000), Li at (0.000, 0.000, 0.500) and Ca at (0.500, 0.500, 0.307).

=====

Entry 6:
First-principles (SCAN) data for a crystal of Ba2Li2Ca relaxed with PBEsol, as listed in Alexandria via LeMat-Bulk.

The energy above the lowest structure with this stoichiometry comes out at 56 meV per atom. The calculation puts the energy relative to the elements at 89 meV per atom.

The structure belongs to space group I4/mmm (No. 139); the cell edges are 4.035, 4.035 and 24.869 Å and the angles 90.00°, 90.00° and 90.00°. The distinct sites, in fractional coordinates, are Ba at (0.000, 0.000, 0.125), Li at (0.000, 0.500, 0.250) and Ca at (0.000, 0.000, 0.500).

=====

Entry 7:
First-principles (SCAN) data for a crystal of Ba2Li2Ca relaxed with PBEsol, as listed in Alexandria via LeMat-Bulk.

The energy above the lowest structure with this stoichiometry comes out at 110 meV per atom. The calculation puts the energy relative to the elements at 142 meV per atom.

The structure belongs to space group P4/mbm (No. 127); the cell edges are 10.168, 10.168 and 3.818 Å and the angles 90.00°, 90.00° and 90.00°. The distinct sites, in fractional coordinates, are Ba at (0.137, 0.363, 0.000), Li at (0.162, 0.662, 0.500) and Ca at (0.000, 0.000, 0.000).

=====

Entry 8:
First-principles (SCAN) data for a crystal of BaLi4Ca relaxed with PBEsol, as listed in Alexandria via LeMat-Bulk.

The calculation puts the energy relative to the elements at 4 meV per atom.

The structure belongs to space group F-43m (No. 216); the cell edges are 8.964, 8.964 and 8.964 Å and the angles 90.00°, 90.00° and 90.00°. The distinct sites, in fractional coordinates, are Ba at (0.000, 0.000, 0.000), Li at (0.122, 0.122, 0.622) and Ca at (0.250, 0.250, 0.250).

=====

Entry 9:
First-principles (SCAN) data for a crystal of BaLiCa2 relaxed with PBEsol, as listed in Alexandria via LeMat-Bulk.

The energy above the lowest structure with this stoichiometry comes out at 64 meV per atom. The calculation puts the energy relative to the elements at 89 meV per atom.

The structure belongs to space group I-4m2 (No. 119); the cell edges are 6.125, 6.125 and 8.696 Å and the angles 90.00°, 90.00° and 90.00°. The distinct sites, in fractional coordinates, are Ba at (0.000, 0.000, 0.000), Li at (0.000, 0.500, 0.750), Ca at (0.000, 0.000, 0.500) and Ca at (0.000, 0.500, 0.250).

=====

Entry 10:
First-principles (SCAN) data for a crystal of BaLiCa2 relaxed with PBEsol, as listed in Alexandria via LeMat-Bulk.

The energy above the lowest structure with this stoichiometry comes out at 0 meV per atom. The calculation puts the energy relative to the elements at 26 meV per atom.

The structure belongs to space group P4mm (No. 99); the cell edges are 4.146, 4.146 and 9.342 Å and the angles 90.00°, 90.00° and 90.00°. The distinct sites, in fractional coordinates, are Ba at (0.000, 0.000, 0.000), Li at (0.500, 0.500, 0.245), Ca at (0.000, 0.000, 0.429) and Ca at (0.500, 0.500, 0.690).

=====

Entry 11:
First-principles (SCAN) data for a crystal of BaLiCa2 relaxed with PBEsol, as listed in Alexandria via LeMat-Bulk.

The energy above the lowest structure with this stoichiometry comes out at 57 meV per atom. The calculation puts the energy relative to the elements at 82 meV per atom.

The structure belongs to space group Imm2 (No. 44); the cell edges are 4.271, 6.248 and 12.055 Å and the angles 90.00°, 90.00° and 90.00°. The distinct sites, in fractional coordinates, are Ba at (0.000, 0.000, 0.000), Li at (0.000, 0.500, 0.264), Ca at (0.000, 0.000, 0.554) and Ca at (0.000, 0.500, 0.783).

=====

Entry 12:
First-principles (SCAN) data for a crystal of BaLiCa2 relaxed with PBEsol, as listed in Alexandria via LeMat-Bulk.

The energy above the lowest structure with this stoichiometry comes out at 0 meV per atom. The calculation puts the energy relative to the elements at 26 meV per atom.

The structure belongs to space group Immm (No. 71); the cell edges are 4.079, 6.275 and 12.623 Å and the angles 90.00°, 90.00° and 90.00°. The distinct sites, in fractional coordinates, are Ba at (0.000, 0.000, 0.000), Li at (0.000, 0.000, 0.500) and Ca at (0.000, 0.500, 0.214).